Computed, not measured: a relaxed Nd2ScSi2 crystal at the PBE-GGA level of DFT.

Properties
Total magnetization in μB/cell: 0.0
DFT total energy in eV per atom: -6.054
Excess energy over the best structure of this formula in the dataset in eV per atom: 0.000
Crystal system: tetragonal

```
Nd2ScSi2
1.0
7.384 0.000 0.000
0.000 7.384 0.000
0.000 0.000 4.414
Nd Sc Si
4 2 4
Cartesian
5.004 1.312 2.207
6.072 5.004 2.207
1.312 2.380 2.207
2.380 6.072 2.207
3.692 3.692 0.000
0.000 0.000 0.000
4.564 6.512 0.000
6.512 2.820 0.000
0.872 4.564 0.000
2.820 0.872 0.000
```